The following is a DFT calculation (PBE) of LiYTe2 after structural relaxation.

a = 3.8784 Å, b = 3.8120 Å, c = 7.8918 Å
α = 90.00°, β = 102.97°, γ = 90.00°
Closest atoms and distances in Å follow each position.
Fractional coordinates of all 4 atoms:
Li1 0.0000 0.0000 0.0000  4 Te 2.91
Y1 0.5000 0.0000 0.5000  8 Te 3.24-3.29
Te1 0.0958 0.5000 0.7353  2 Li 2.91, 2 Y 3.24
Te2 0.9042 0.5000 0.2647  2 Li 2.91, 2 Y 3.24

V (Å³ per atom): 28.43
Formation energy without anion corrections (eV/atom): -1.058

=====

The following is a DFT calculation (PBE) of Ca2AlAg2 after structural relaxation.

a = 5.9064 Å, b = 5.9064 Å, c = 5.9064 Å
α = 134.95°, β = 120.51°, γ = 77.64°
Closest atoms and distances in Å follow each position.
Fractional coordinates of all 5 atoms:
Ca1 0.1975 0.1975 0.0000  6 Ag 3.17-3.23, 2 Al 3.45
Ca2 0.8025 0.8025 0.0000  6 Ag 3.17-3.23, 2 Al 3.45
Al1 0.5000 0.0000 0.5000  4 Ag 2.72
Ag1 0.2431 0.5000 0.7431  2 Al 2.72, 2 Ag 2.85-3.01
Ag2 0.7569 0.5000 0.2569  2 Al 2.72, 2 Ag 2.85-3.01

V (Å³ per atom): 24.41
Relative energy among the computed polymorphs (meV per atom): 0.0
DFT formation energy (eV/atom): -0.330

=====

The following is a DFT calculation (PBE) of Li5HfSe4 after structural relaxation.

a = 8.0690 Å, b = 8.0690 Å, c = 8.0690 Å
α = 151.72°, β = 125.90°, γ = 62.16°
Closest atoms and distances in Å follow each position.
Fractional coordinates of all 10 atoms:
Li1 0.0000 0.0000 0.0000  4 Se 2.65
Li2 0.1107 0.3225 0.7882  4 Se 2.48-2.67
Li3 0.4657 0.6775 0.7882  4 Se 2.48-2.67
Li4 0.5343 0.3225 0.2118  4 Se 2.48-2.67
Li5 0.8893 0.6775 0.2118  4 Se 2.48-2.67
Hf1 0.5000 0.0000 0.5000  6 Se 2.74-2.83
Se1 0.2408 0.5000 0.7408  4 Li 2.48-2.65, 2 Hf 2.74
Se2 0.2951 0.7951 0.5000  6 Li 2.54-2.67, 1 Hf 2.83
Se3 0.7049 0.2049 0.5000  6 Li 2.54-2.67, 1 Hf 2.83
Se4 0.7592 0.5000 0.2592  4 Li 2.48-2.65, 2 Hf 2.74

V (Å³ per atom): 19.99
Formation energy without anion corrections (eV/atom): -1.171

=====

The following is a DFT calculation (PBE) of CaEuMgGe after structural relaxation.

a = 5.3465 Å, b = 5.3465 Å, c = 5.3465 Å
α = 60.00°, β = 60.00°, γ = 60.00°
Closest atoms and distances in Å follow each position.
Fractional coordinates of all 4 atoms:
Ca1 0.0000 0.0000 0.0000  4 Ge 3.27, 4 Mg 3.27
Eu1 0.5000 0.5000 0.5000  4 Ge 3.27, 4 Mg 3.27
Mg1 0.2500 0.2500 0.2500  4 Eu 3.27, 4 Ca 3.27
Ge1 0.7500 0.7500 0.7500  4 Eu 3.27, 4 Ca 3.27

V (Å³ per atom): 27.02
DFT formation energy (eV/atom): -0.362

=====

The following is a DFT calculation (PBE) of Rb3Pr3SbO8 after structural relaxation.

a = 7.8749 Å, b = 7.8749 Å, c = 7.8749 Å
α = 54.57°, β = 54.57°, γ = 54.57°
Closest atoms and distances in Å follow each position.
Fractional coordinates of all 15 atoms:
Rb1 0.0000 0.5000 0.5000  6 O 2.98-2.99
Rb2 0.5000 0.0000 0.5000  6 O 2.98-2.99
Rb3 0.5000 0.5000 0.0000  6 O 2.98-2.99
Pr1 0.0000 0.0000 0.5000  6 O 2.40-2.47
Pr2 0.0000 0.5000 0.0000  6 O 2.40-2.47
Pr3 0.5000 0.0000 0.0000  6 O 2.40-2.47
Sb1 0.5000 0.5000 0.5000  6 O 2.18
O1 0.2261 0.2261 0.2261  3 Pr 2.40
O2 0.2571 0.7052 0.7052  1 Sb 2.18
O3 0.2948 0.2948 0.7429  1 Sb 2.18
O4 0.2948 0.7429 0.2948  1 Sb 2.18
O5 0.7052 0.2571 0.7052  1 Sb 2.18
O6 0.7052 0.7052 0.2571  1 Sb 2.18
O7 0.7429 0.2948 0.2948  1 Sb 2.18
O8 0.7739 0.7739 0.7739  3 Pr 2.40

V (Å³ per atom): 20.11
Formation energy without anion corrections (eV/atom): -2.292

=====

The following is a DFT calculation (PBE) of Sc3CuTc after structural relaxation.

a = 4.9692 Å, b = 4.9692 Å, c = 4.9692 Å
α = 90.00°, β = 90.00°, γ = 90.00°
Closest atoms and distances in Å follow each position.
Fractional coordinates of all 5 atoms:
Sc1 0.0000 0.0000 0.5000  2 Tc 2.48
Sc2 0.0000 0.5000 0.0000  2 Tc 2.48
Sc3 0.5000 0.0000 0.0000  2 Tc 2.48
Cu1 0.5000 0.5000 0.5000  12 Sc 3.51
Tc1 0.0000 0.0000 0.0000  6 Sc 2.48

V (Å³ per atom): 24.54
Relative energy among the computed polymorphs (meV per atom): 566.2
DFT formation energy (eV/atom): 0.348

=====

The following is a DFT calculation (PBE) of In2CoMo after structural relaxation.

a = 5.8822 Å, b = 5.8822 Å, c = 5.8822 Å
α = 103.22°, β = 103.22°, γ = 122.87°
Closest atoms and distances in Å follow each position.
Fractional coordinates of all 8 atoms:
In1 0.0950 0.6250 0.9700  2 Co 2.53, 2 Mo 2.83
In2 0.3750 0.3450 0.4700  2 Co 2.53, 2 Mo 2.83
In3 0.6550 0.1250 0.0300  2 Co 2.53, 2 Mo 2.83
In4 0.8750 0.9050 0.5300  2 Co 2.53, 2 Mo 2.83
Co1 0.0000 0.0000 0.0000  4 In 2.53, 2 Mo 2.81
Co2 0.7500 0.2500 0.5000  4 In 2.53, 2 Mo 2.81
Mo1 0.2500 0.7500 0.5000  2 Co 2.81, 4 In 2.83
Mo2 0.5000 0.5000 0.0000  2 Co 2.81, 4 In 2.83

V (Å³ per atom): 18.77
Relative energy among the computed polymorphs (meV per atom): 509.6
DFT formation energy (eV/atom): 0.727

=====

The following is a DFT calculation (PBE) of GaHgB after structural relaxation.

a = 4.0608 Å, b = 4.0608 Å, c = 6.4353 Å
α = 90.00°, β = 90.00°, γ = 90.00°
Closest atoms and distances in Å follow each position.
Fractional coordinates of all 6 atoms:
Ga1 0.2500 0.2500 0.1510  4 B 2.25
Ga2 0.7500 0.7500 0.8490  4 B 2.25
Hg1 0.2500 0.2500 0.5984  1 Ga 2.88, 4 Hg 3.14
Hg2 0.7500 0.7500 0.4016  1 Ga 2.88, 4 Hg 3.14
B1 0.2500 0.7500 0.0000  4 Ga 2.25
B2 0.7500 0.2500 0.0000  4 Ga 2.25

V (Å³ per atom): 17.69
DFT formation energy (eV/atom): 0.798

=====

The following is a DFT calculation (PBE) of Sm2DyHg2 after structural relaxation.

a = 3.7733 Å, b = 5.3529 Å, c = 14.0054 Å
α = 90.00°, β = 97.74°, γ = 90.00°
Closest atoms and distances in Å follow each position.
Fractional coordinates of all 10 atoms:
Sm1 0.0464 0.2500 0.0910  8 Hg 3.27-3.32
Sm2 0.2339 0.2500 0.4691  2 Hg 3.19-3.20, 4 Sm 3.38-3.39
Sm3 0.7661 0.7500 0.5309  2 Hg 3.19-3.20, 4 Sm 3.38-3.39
Sm4 0.9536 0.7500 0.9090  8 Hg 3.27-3.32
Dy1 0.1470 0.7500 0.2928  6 Hg 3.21-3.28
Dy2 0.8530 0.2500 0.7072  6 Hg 3.21-3.28
Hg1 0.3583 0.7500 0.7167  4 Sm 3.19-3.27, 4 Dy 3.28
Hg2 0.4469 0.2500 0.8945  2 Dy 3.21, 6 Sm 3.28-3.32
Hg3 0.5531 0.7500 0.1055  2 Dy 3.21, 6 Sm 3.28-3.32
Hg4 0.6417 0.2500 0.2833  4 Sm 3.19-3.27, 4 Dy 3.28

V (Å³ per atom): 28.03
Relative energy among the computed polymorphs (meV per atom): 0.0
DFT formation energy (eV/atom): -0.375

=====

The following is a DFT calculation (PBE) of RbCdO2 after structural relaxation.

a = 7.6498 Å, b = 7.6498 Å, c = 7.6498 Å
α = 28.82°, β = 28.82°, γ = 28.82°
Closest atoms and distances in Å follow each position.
Fractional coordinates of all 4 atoms:
Rb1 0.0000 0.0000 0.0000  6 O 2.79
Cd1 0.5000 0.5000 0.5000  2 O 1.95
O1 0.4113 0.4113 0.4113  1 Cd 1.95
O2 0.5887 0.5887 0.5887  1 Cd 1.95

V (Å³ per atom): 23.00
Formation energy without anion corrections (eV/atom): -0.540

=====

The following is a DFT calculation (PBE) of SrLiIn3 after structural relaxation.

a = 6.1811 Å, b = 6.1811 Å, c = 6.1811 Å
α = 90.00°, β = 90.00°, γ = 90.00°
Closest atoms and distances in Å follow each position.
Fractional coordinates of all 5 atoms:
Sr1 0.0000 0.0000 0.0000  6 In 3.09
Li1 0.5000 0.5000 0.5000  12 In 4.37
In1 0.0000 0.0000 0.5000  2 Sr 3.09
In2 0.0000 0.5000 0.0000  2 Sr 3.09
In3 0.5000 0.0000 0.0000  2 Sr 3.09

V (Å³ per atom): 47.23
Relative energy among the computed polymorphs (meV per atom): 882.7
DFT formation energy (eV/atom): 0.622

=====

The following is a DFT calculation (PBE) of Pr3Sn4Ge2 after structural relaxation.

a = 8.0866 Å, b = 8.0866 Å, c = 4.3267 Å
α = 90.00°, β = 90.00°, γ = 120.00°
Closest atoms and distances in Å follow each position.
Fractional coordinates of all 9 atoms:
Pr1 0.0000 0.6047 0.0000  7 Sn 3.20-3.58, 4 Ge 3.29
Pr2 0.3953 0.3953 0.0000  7 Sn 3.20-3.58, 4 Ge 3.29
Pr3 0.6047 0.0000 0.0000  7 Sn 3.20-3.58, 4 Ge 3.29
Sn1 0.0000 0.0000 0.0000  6 Sn 3.15, 3 Pr 3.20
Sn2 0.0000 0.2825 0.5000  2 Ge 2.92, 2 Sn 3.15
Sn3 0.2825 0.0000 0.5000  2 Ge 2.92, 2 Sn 3.15
Sn4 0.7175 0.7175 0.5000  2 Ge 2.92, 2 Sn 3.15
Ge1 0.3333 0.6667 0.5000  3 Sn 2.92
Ge2 0.6667 0.3333 0.5000  3 Sn 2.92

V (Å³ per atom): 27.23
DFT formation energy (eV/atom): -0.523